[1]
A relaxed SrDyInCu crystal, computed with GGA-PBE.

Unit cell a=5.3467 b=5.3467 c=5.3467 alpha=60.00 beta=60.00 gamma=60.00
Closest atoms and distances in Å follow each position.
Fractional positions:
Sr  0.5000  0.5000  0.5000  4 In 3.27, 4 Cu 3.27
In  0.7500  0.7500  0.7500  4 Dy 3.27, 4 Sr 3.27
Cu  0.2500  0.2500  0.2500  4 Dy 3.27, 4 Sr 3.27
Dy  0.0000  0.0000  0.0000  4 In 3.27, 4 Cu 3.27

Output
Fermi-level density of states ... 1.264 states/eV/atom
Formation energy from the elements ... -16.1 kJ per mole of atoms

***

[2]
A relaxed Tb4CeSmDy2 crystal, computed with GGA-PBE.

Unit cell a=3.5548 b=6.1589 c=11.8190 alpha=80.00 beta=90.00 gamma=90.00
Closest atoms and distances in Å follow each position.
Fractional positions:
Tb  0.0000  0.7478  0.7485  6 Tb 3.53-3.58, 1 Ce 3.54, 3 Dy 3.55-3.58, 2 Sm 3.57
Tb  0.0000  0.2522  0.2515  6 Tb 3.53-3.58, 1 Ce 3.54, 3 Dy 3.55-3.58, 2 Sm 3.57
Tb  0.5000  0.7466  0.2525  6 Tb 3.53-3.58, 2 Ce 3.53, 3 Dy 3.55-3.59, 1 Sm 3.58
Tb  0.5000  0.2534  0.7475  6 Tb 3.53-3.58, 2 Ce 3.53, 3 Dy 3.55-3.59, 1 Sm 3.58
Ce  0.0000  0.5000  0.5000  6 Tb 3.53-3.54, 2 Ce 3.55, 4 Dy 3.56
Sm  0.5000  0.5000  0.0000  2 Sm 3.55, 4 Dy 3.56, 6 Tb 3.57-3.58
Dy  0.0000  0.0000  0.0000  2 Dy 3.55, 4 Sm 3.56, 6 Tb 3.58-3.59
Dy  0.5000  0.0000  0.5000  6 Tb 3.55, 2 Dy 3.55, 4 Ce 3.56

Output
Fermi-level density of states ... 1.693 states/eV/atom
Formation energy from the elements ... 3.9 kJ per mole of atoms

***

[3]
A relaxed Ga2GePt5 crystal, computed with GGA-PBE.

Unit cell a=3.9365 b=5.6271 c=11.2498 alpha=90.00 beta=90.00 gamma=90.00
Closest atoms and distances in Å follow each position.
Fractional positions:
Ga  0.5000  0.3544  0.3484  8 Pt 2.55-2.77
Ga  0.5000  0.6456  0.6516  8 Pt 2.55-2.77
Ga  0.5000  0.1456  0.8484  8 Pt 2.55-2.77
Ga  0.5000  0.8544  0.1516  8 Pt 2.55-2.77
Ge  0.0000  0.0000  0.5000  8 Pt 2.54-2.81
Ge  0.0000  0.5000  0.0000  8 Pt 2.54-2.81
Pt  0.5000  0.2975  0.1034  2 Ga 2.55-2.77, 2 Ge 2.55, 2 Pt 2.83
Pt  0.5000  0.7025  0.8966  2 Ga 2.55-2.77, 2 Ge 2.55, 2 Pt 2.83
Pt  0.5000  0.7975  0.3966  2 Ga 2.55-2.77, 2 Ge 2.55, 2 Pt 2.83
Pt  0.5000  0.2025  0.6034  2 Ga 2.55-2.77, 2 Ge 2.55, 2 Pt 2.83
Pt  0.0000  0.9146  0.7214  1 Ge 2.54, 4 Ga 2.60-2.76
Pt  0.0000  0.0854  0.2786  1 Ge 2.54, 4 Ga 2.60-2.76
Pt  0.0000  0.4146  0.7786  1 Ge 2.54, 4 Ga 2.60-2.76
Pt  0.0000  0.5854  0.2214  1 Ge 2.54, 4 Ga 2.60-2.76
Pt  0.0000  0.5000  0.5000  4 Ga 2.73, 2 Ge 2.81, 4 Pt 2.83
Pt  0.0000  0.0000  0.0000  4 Ga 2.73, 2 Ge 2.81, 4 Pt 2.83

Output
Fermi-level density of states ... 0.341 states/eV/atom
Formation energy from the elements ... -45.9 kJ per mole of atoms